No. 1
Computed, not measured: a geometry-optimized Mg3OsC structure at the PBE-GGA level of DFT.

Values from the calculation:
space group	Pm-3m
energy of formation	1.8398	eV per atom
electronic total energy	-3.208	eV per atom

Cell and atoms, written as extended XYZ:
```
5
Lattice="-0.9021 -4.7422 1.0907 1.3741 -1.3124 -4.5696 4.6680 -0.5302 1.5560" Properties=species:S:1:pos:R:3 pbc="T T T"
Mg 0.6871 -0.6562 -2.2848
Mg 2.3340 -0.2651 0.7780
Mg -0.4511 -2.3711 0.5453
Os 0.0000 0.0000 0.0000
C 2.5700 -3.2924 -0.9615
```

No. 2
Computed, not measured: a geometry-optimized Mg3OsC structure at the PBE-GGA level of DFT.

Values from the calculation:
space group	Pm-3m
energy of formation	0.7430	eV per atom
electronic total energy	-4.305	eV per atom

Cell and atoms, written as extended XYZ:
```
5
Lattice="-2.6863 -3.2552 0.8395 2.1318 -0.8186 3.6473 -2.5993 2.6927 2.1237" Properties=species:S:1:pos:R:3 pbc="T T T"
Mg 1.0659 -0.4093 1.8236
Mg -1.2997 1.3463 1.0618
Mg -1.3431 -1.6276 0.4197
Os -1.5769 -0.6906 3.3052
C 0.0000 0.0000 0.0000
```

No. 3
Computed, not measured: a geometry-optimized Mg2OsC structure at the PBE-GGA level of DFT.

Values from the calculation:
space group	I-42d
energy of formation	0.4137	eV per atom
electronic total energy	-5.497	eV per atom

Cell and atoms, written as extended XYZ:
```
8
Lattice="-0.5625 -1.1756 8.3335 8.2139 -1.8964 0.2869 4.2512 0.3518 4.6053" Properties=species:S:1:pos:R:3 pbc="T T T"
Mg 1.8284 -0.6950 5.0567
Mg 6.0358 -1.4332 3.7112
Mg 7.3774 -1.1929 6.7327
Mg 8.5637 -2.1195 10.9507
Os 0.0000 0.0000 0.0000
Os 3.7572 -1.1799 8.6245
C 3.8257 -1.5360 4.3102
C 8.1454 -1.5403 4.6012
```

No. 4
Computed, not measured: a geometry-optimized MgOs2C structure at the PBE-GGA level of DFT.

Values from the calculation:
space group	Fm-3m
energy of formation	1.5626	eV per atom
electronic total energy	-6.757	eV per atom

Cell and atoms, written as extended XYZ:
```
4
Lattice="0.0000 2.9226 2.9226 2.9226 0.0000 2.9226 2.9226 2.9226 0.0000" Properties=species:S:1:pos:R:3 pbc="T T T"
Mg 2.9226 2.9226 2.9226
Os 1.4613 1.4613 1.4613
Os 4.3838 4.3838 4.3838
C 0.0000 0.0000 0.0000
```

No. 5
Computed, not measured: a geometry-optimized Mg2Os2C structure at the PBE-GGA level of DFT.

Values from the calculation:
space group	I4/mmm
energy of formation	1.2718	eV per atom
electronic total energy	-5.703	eV per atom

Cell and atoms, written as extended XYZ:
```
5
Lattice="3.4236 0.0000 0.0000 0.0000 3.4236 0.0000 1.7118 1.7118 7.5671" Properties=species:S:1:pos:R:3 pbc="T T T"
Mg 1.7118 1.7118 1.3832
Mg 3.4236 3.4236 6.1839
Os 3.4236 1.7118 3.7836
Os 1.7118 3.4236 3.7836
C 0.0000 0.0000 0.0000
```

No. 6
Computed, not measured: a geometry-optimized MgOsC structure at the PBE-GGA level of DFT.

Values from the calculation:
space group	Cmce
energy of formation	0.2124	eV per atom
electronic total energy	-7.137	eV per atom

Cell and atoms, written as extended XYZ:
```
12
Lattice="5.0393 0.0849 0.0000 -1.8151 4.7018 0.0000 0.0000 0.0000 7.1939" Properties=species:S:1:pos:R:3 pbc="T T T"
C 2.4957 3.7051 0.6819
C 2.3406 3.4749 4.2789
C 0.7285 1.0816 6.5119
C 0.8836 1.3118 2.9150
Mg 2.9455 1.4952 0.0000
Mg 0.2787 3.2915 0.0000
Mg -0.4817 3.8037 3.5969
Mg 3.7059 0.9830 3.5969
Os 1.9802 2.9399 2.4065
Os 0.3681 0.5466 1.1905
Os 2.8560 4.2401 6.0034
Os 1.2439 1.8468 4.7874
```